# GGA+U Sr4CeMn4CoO15, optimized geometry
data_Sr4CeMn4CoO15
_symmetry_space_group_name_H-M 'C 1 m 1'
_symmetry_Int_Tables_number 8
_symmetry_space_group_name_Hall 'C -2y'
_cell_length_a 16.228
_cell_length_b 5.479
_cell_length_c 6.721
_cell_angle_alpha 90.00
_cell_angle_beta 105.18
_cell_angle_gamma 90.00
loop_
_atom_site_label
_atom_site_type_symbol
_atom_site_fract_x
_atom_site_fract_y
_atom_site_fract_z
Sr1 Sr 0.000 0.000 0.000
Sr2 Sr 0.097 0.500 0.391
Sr3 Sr 0.303 0.500 0.197
Sr4 Sr 0.401 0.000 0.596
Ce1 Ce 0.205 0.000 0.807
Mn1 Mn 0.001 0.000 0.492
Mn2 Mn 0.100 0.500 0.893
Mn3 Mn 0.200 0.000 0.296
Mn4 Mn 0.301 0.500 0.699
Co1 Co 0.400 0.000 0.098
O1 O 0.062 0.236 0.690
O2 O 0.100 0.000 0.390
O3 O 0.151 0.248 0.078
O4 O 0.202 0.500 0.798
O5 O 0.252 0.249 0.517
O6 O 0.295 0.000 0.181
O7 O 0.340 0.239 0.900
O8 O 0.407 0.500 0.622
O9 O 0.450 0.250 0.303
O10 O 0.497 0.000 0.978
# DFT total energy: -6.95 eV per atom
# Total magnetic moment: 0.9 μB per formula unit